Compound: CoPW2
Source: the Alexandria database
Functional: meta-GGA SCAN
Structure: single point on PBEsol structure

Geometry as POSCAR:
```
CoPW2
1.0
4.318 0.000 0.000
0.000 4.318 0.000
0.000 0.000 2.791
Co P W
1 1 2
direct
0.000 0.000 0.000
0.500 0.500 0.000
0.000 0.500 0.500
0.500 0.000 0.500
```

Summary:
Energy relative to the elements ... 220 meV/atom
Total DFT energy (no corrections) ... -41.55 eV/atom
M_tot ... 1.136 μB per formula unit